KOsRh2 | PBE | optimized geometry

Cell: 10.2631 10.2631 10.2631 Å, 15.56 15.56 15.56°
Last column: nearest neighbours and their distance in Å.
Sites, in units of the cell vectors:
K (0.5015, 0.5015, 0.5015)  6 K 2.78
Rh (0.2605, 0.2605, 0.2605)  9 Rh 2.77-2.78
Rh (0.0013, 0.0013, 0.0013)  3 Os 2.63, 9 Rh 2.77-2.78
Os (0.7367, 0.7367, 0.7367)  3 Rh 2.63, 6 Os 2.78

The calculated formation energy is 650 meV/atom. Its space group is R3m, No. 160.

=====

CaTc2Pb | PBE | optimized geometry

Cell: 5.1508 5.1508 5.1508 Å, 132.48 121.86 78.28°
Last column: nearest neighbours and their distance in Å.
Sites, in units of the cell vectors:
Tc (0.0432, 0.0432, 0.0000)  2 Tc 2.43
Tc (0.2019, 0.7019, 0.5000)  2 Tc 2.43
Ca (0.4842, 0.4842, 0.0000)  4 Pb 3.03-3.09, 8 Tc 3.05-3.29
Pb (0.7707, 0.2707, 0.5000)  8 Tc 3.01-3.30, 4 Ca 3.03-3.09

The calculated formation energy is 392 meV/atom. Its space group is Imm2, No. 44.

=====

TlZnSi | PBE | optimized geometry

Cell: 7.1899 7.1454 3.0727 Å, 78.44 76.81 24.75°
Last column: nearest neighbours and their distance in Å.
Sites, in units of the cell vectors:
Tl (0.3274, 0.3274, 0.6726)  4 Tl 3.07, 4 Zn 3.28-3.37
Zn (0.6432, 0.6432, 0.3568)  4 Si 2.61-2.73
Si (0.0294, 0.0294, 0.9706)  4 Zn 2.61-2.73

Its space group is Fmm2, No. 42. The calculation puts the formation energy (no corrections) at 0.394 eV/atom.

=====

Pr2Sm3Dy4 | PBE | optimized geometry

Cell: 6.2534 8.0715 6.2446 Å, 104.91 80.51 97.55°
Last column: nearest neighbours and their distance in Å.
Sites, in units of the cell vectors:
Dy (0.5540, 0.1113, 0.7775)  5 Sm 3.59-3.62, 4 Dy 3.60-3.61, 3 Pr 3.60
Dy (0.7758, 0.5550, 0.8907)  4 Dy 3.58-3.61, 4 Pr 3.59-3.62, 4 Sm 3.59-3.63
Dy (0.4460, 0.8887, 0.2225)  5 Sm 3.59-3.62, 4 Dy 3.60-3.61, 3 Pr 3.60
Dy (0.2242, 0.4450, 0.1093)  4 Dy 3.58-3.61, 4 Pr 3.59-3.62, 4 Sm 3.59-3.63
Pr (0.3321, 0.6675, 0.6677)  7 Dy 3.59-3.62, 4 Sm 3.61-3.63, 1 Pr 3.64
Pr (0.6679, 0.3325, 0.3323)  7 Dy 3.59-3.62, 4 Sm 3.61-3.63, 1 Pr 3.64
Sm (0.1103, 0.2212, 0.5571)  3 Sm 3.59-3.61, 6 Dy 3.59-3.63, 3 Pr 3.61-3.63
Sm (0.0000, 0.0000, 0.0000)  4 Sm 3.59-3.61, 6 Dy 3.60-3.62, 2 Pr 3.61
Sm (0.8897, 0.7788, 0.4429)  3 Sm 3.59-3.61, 6 Dy 3.59-3.63, 3 Pr 3.61-3.63

The calculated formation energy is 18 meV/atom. Its space group is P-1, No. 2.

=====

Calculated energy, -6.108, -6.218, -2.627, -4.662 eV/atom (same order as the records).